Material: Ba2TaAu
Method: DFT, PBE-GGA
State: relaxed

Cell lengths 6.520, 6.520, 6.520 Å; angles 136.56, 136.56, 63.11 degrees
Sites, in units of the cell vectors:
Ba 0.000 0.000 0.000
Ba 0.250 0.750 0.500
Ta 0.500 0.500 0.000
Au 0.750 0.250 0.500

The total magnetization comes out at 0.857 μB per atom. The density of states at the Fermi level is 4.29 states/eV/f.u. The calculation puts the formation energy at 0.74 eV/atom. The polymorph energy (0 for the lowest one) is 0.530 eV/atom. For the volume, the calculation gives 129.4 Å³/f.u. Its space group is I-4m2, No. 119.